Run one
## Li2Mg2Ge (meta-GGA SCAN)

Data for Li2Mg2Ge at its PBEsol-relaxed geometry.

Lattice parameters (Å, degrees): 3.4897 3.4897 8.4738 101.88 101.88 90.00
Sites, in units of the cell vectors:
Li 0.7500 0.2500 0.5000
Li 0.2500 0.7500 0.5000
Mg 0.4015 0.4015 0.8031
Mg 0.5985 0.5985 0.1969
Ge 0.0000 0.0000 0.0000

Computed properties:
The space group is I4/mmm (139). The density of states at the Fermi level comes out at 2.2 states/eV per cell.

---

Run two
## Li2Mg2Ge (meta-GGA SCAN)

Data for Li2Mg2Ge at its PBEsol-relaxed geometry.

Lattice parameters (Å, degrees): 4.3642 6.3804 6.3804 90.00 90.00 90.00
Sites, in units of the cell vectors:
Li 0.0000 0.3615 0.8615
Li 0.0000 0.8615 0.6385
Li 0.0000 0.6385 0.1385
Li 0.0000 0.1385 0.3615
Ge 0.0000 0.0000 0.0000
Ge 0.0000 0.5000 0.5000
Mg 0.5000 0.8207 0.3207
Mg 0.5000 0.6793 0.8207
Mg 0.5000 0.1793 0.6793
Mg 0.5000 0.3207 0.1793

Computed properties:
The space group is P4/mbm (127). The density of states at the Fermi level comes out at 3.2 states/eV per cell.

---

Relative calculated energies, zero for the most stable structure, unit kJ/mol of atoms: run one 17.9; run two 0.0.